1.
Computed, not measured: an optimized crystal structure of Mg2CdIn at the PBE-GGA level of DFT.

Cell: 7.158 7.158 7.158 Å, 90.00 90.00 90.00°
Space group F-43m (No. 216)
Inequivalent atoms, fractional coordinates:
Mg: 0.000 0.000 0.000 [4 per cell]
Mg: 0.250 0.250 0.250 [4 per cell]
Cd: 0.250 0.250 0.750 [4 per cell]
In: 0.000 0.000 0.500 [4 per cell]

Final energy   -26.9 eV for the cell shown
Density   4.99 g/cm³



2.
Computed, not measured: an optimized crystal structure of Mg6CdIn at the PBE-GGA level of DFT.

Cell: 6.2870 6.2870 5.1911 Å, 90.00 90.00 120.00°
Space group P-6m2 (No. 187)
Inequivalent atoms, fractional coordinates:
Mg: 0.1673 0.3345 0.0000 [3 per cell]
Mg: 0.5011 0.0022 0.5000 [3 per cell]
Cd: 0.6667 0.3333 0.0000 [1 per cell]
In: 0.0000 0.0000 0.5000 [1 per cell]

Final energy   -13.5 eV for the cell shown
Density   3.49 g/cm³



3.
Computed, not measured: an optimized crystal structure of Na2MgCdIn2Pt2 at the PBE-GGA level of DFT.

Cell: 4.764 4.764 6.741 Å, 90.00 90.00 90.00°
Space group P-4m2 (No. 115)
Inequivalent atoms, fractional coordinates:
Na: 0.000 0.500 0.248 [2 per cell]
Mg: 0.000 0.000 0.500 [1 per cell]
Cd: 0.500 0.500 0.000 [1 per cell]
In: 0.000 0.000 0.000 [1 per cell]
In: 0.500 0.500 0.500 [1 per cell]
Pt: 0.000 0.500 0.740 [2 per cell]

Final energy   -25.5 eV for the cell shown
Density   8.71 g/cm³